A relaxed Ce2SiNiC crystal. Source: Alexandria, functional PBE.

Structure (extended XYZ):
```
10
Lattice="6.289 0.000 0.000 0.000 3.925 0.000 -2.308 0.000 7.646" Properties=species:S:1:pos:R:3 pbc="T T T"
Ce 0.415 0.981 2.946
Ce -0.792 0.981 7.376
Ce 4.773 2.944 0.270
Ce 3.566 2.944 4.700
Si 0.391 2.944 5.272
Si 3.589 0.981 2.374
Ni 2.401 2.944 1.907
Ni 1.580 0.981 5.740
C 0.607 2.944 1.270
C 3.373 0.981 6.377
```

Computed properties:
total moment	0.00	μB per formula unit
mass density	6668	kg/m³
raw formation energy	-0.47	eV/atom